[1]
! CaIrPt2 | Alexandria via LeMat-Bulk | PBE-GGA | optimized geometry; values from VASP
&SYSTEM
  ibrav = 0, nat = 4, ntyp = 3
/
ATOMIC_SPECIES
Ca 40.08 Ca.upf
Ir 192.22 Ir.upf
Pt 195.08 Pt.upf
ATOMIC_POSITIONS crystal
Ca 0.000 0.000 0.000
Ir 0.000 0.500 0.591
Pt 0.500 0.000 0.510
Pt 0.500 0.500 0.118
CELL_PARAMETERS angstrom
2.861 0.000 0.000
0.000 4.775 0.000
0.000 0.000 4.968
! - Fermi-level density of states: 0.5457 states/eV per atom
! - Final energy: -6.07 eV per atom
! - Formation energy from the elements: -1.330 eV/f.u.
! - Energy relative to the lowest polymorph listed for this composition: 21 meV per atom



[2]
! CaIrPt3 | Alexandria via LeMat-Bulk | PBE-GGA | optimized geometry; values from VASP
&SYSTEM
  ibrav = 0, nat = 5, ntyp = 3
/
ATOMIC_SPECIES
Ca 40.08 Ca.upf
Ir 192.22 Ir.upf
Pt 195.08 Pt.upf
ATOMIC_POSITIONS crystal
Ca 0.000 0.000 0.000
Ir 0.500 0.500 0.500
Pt 0.000 0.500 0.500
Pt 0.500 0.000 0.500
Pt 0.500 0.500 0.000
CELL_PARAMETERS angstrom
4.902 0.000 0.000
0.000 4.902 0.000
0.000 0.000 4.902
! - Fermi-level density of states: 1.4412 states/eV per atom
! - Final energy: -5.40 eV per atom
! - Formation energy from the elements: 1.987 eV/f.u.
! - Energy relative to the lowest polymorph listed for this composition: 0 meV per atom



[3]
! CaIrPt2 | Alexandria via LeMat-Bulk | PBE-GGA | optimized geometry; values from VASP
&SYSTEM
  ibrav = 0, nat = 4, ntyp = 3
/
ATOMIC_SPECIES
Ca 40.08 Ca.upf
Ir 192.22 Ir.upf
Pt 195.08 Pt.upf
ATOMIC_POSITIONS crystal
Ca 0.000 0.000 0.000
Ir 0.500 0.500 0.305
Pt 0.000 0.000 0.480
Pt 0.500 0.500 0.730
CELL_PARAMETERS angstrom
3.424 0.000 0.000
0.000 3.424 0.000
0.000 0.000 6.243
! - Fermi-level density of states: 0.9398 states/eV per atom
! - Final energy: -5.83 eV per atom
! - Formation energy from the elements: -0.390 eV/f.u.
! - Energy relative to the lowest polymorph listed for this composition: 256 meV per atom



[4]
! CaIrPt2 | Alexandria via LeMat-Bulk | PBE-GGA | optimized geometry; values from VASP
&SYSTEM
  ibrav = 0, nat = 4, ntyp = 3
/
ATOMIC_SPECIES
Ca 40.08 Ca.upf
Ir 192.22 Ir.upf
Pt 195.08 Pt.upf
ATOMIC_POSITIONS crystal
Ca 0.000 0.000 0.000
Ir 0.500 0.500 0.000
Pt 0.250 0.750 0.500
Pt 0.750 0.250 0.500
CELL_PARAMETERS angstrom
-2.052 2.052 4.065
2.052 -2.052 4.065
2.052 2.052 -4.065
! - Fermi-level density of states: 1.1915 states/eV per atom
! - Final energy: -5.93 eV per atom
! - Formation energy from the elements: -0.796 eV/f.u.
! - Energy relative to the lowest polymorph listed for this composition: 154 meV per atom



[5]
! CaIr3Pt | Alexandria via LeMat-Bulk | PBE-GGA | optimized geometry; values from VASP
&SYSTEM
  ibrav = 0, nat = 5, ntyp = 3
/
ATOMIC_SPECIES
Ca 40.08 Ca.upf
Ir 192.22 Ir.upf
Pt 195.08 Pt.upf
ATOMIC_POSITIONS crystal
Ca 0.000 0.000 0.000
Ir 0.000 0.000 0.500
Ir 0.000 0.500 0.000
Ir 0.500 0.000 0.000
Pt 0.500 0.500 0.500
CELL_PARAMETERS angstrom
4.688 0.000 0.000
0.000 4.688 0.000
0.000 0.000 4.688
! - Fermi-level density of states: 1.1741 states/eV per atom
! - Final energy: -4.46 eV per atom
! - Formation energy from the elements: 12.349 eV/f.u.
! - Energy relative to the lowest polymorph listed for this composition: 1300 meV per atom



[6]
! CaIrPt2 | Alexandria via LeMat-Bulk | PBE-GGA | optimized geometry; values from VASP
&SYSTEM
  ibrav = 0, nat = 4, ntyp = 3
/
ATOMIC_SPECIES
Ca 40.08 Ca.upf
Ir 192.22 Ir.upf
Pt 195.08 Pt.upf
ATOMIC_POSITIONS crystal
Ca 0.000 0.000 0.000
Ir 0.243 0.243 0.568
Pt 0.508 0.508 0.517
Pt 0.756 0.756 0.092
CELL_PARAMETERS angstrom
5.218 -1.427 0.000
5.218 1.427 0.000
-2.015 0.000 4.544
! - Fermi-level density of states: 0.9500 states/eV per atom
! - Final energy: -6.03 eV per atom
! - Formation energy from the elements: -1.179 eV/f.u.
! - Energy relative to the lowest polymorph listed for this composition: 59 meV per atom



[7]
! CaIrPt2 | Alexandria via LeMat-Bulk | PBE-GGA | optimized geometry; values from VASP
&SYSTEM
  ibrav = 0, nat = 4, ntyp = 3
/
ATOMIC_SPECIES
Ca 40.08 Ca.upf
Ir 192.22 Ir.upf
Pt 195.08 Pt.upf
ATOMIC_POSITIONS crystal
Ca 0.000 0.000 0.000
Ir 0.500 0.500 0.500
Pt 0.250 0.250 0.250
Pt 0.750 0.750 0.750
CELL_PARAMETERS angstrom
0.000 3.275 3.275
3.275 0.000 3.275
3.275 3.275 0.000
! - Fermi-level density of states: 1.6196 states/eV per atom
! - Final energy: -5.81 eV per atom
! - Formation energy from the elements: -0.297 eV/f.u.
! - Energy relative to the lowest polymorph listed for this composition: 279 meV per atom



[8]
! CaIrPt2 | Alexandria via LeMat-Bulk | PBE-GGA | optimized geometry; values from VASP
&SYSTEM
  ibrav = 0, nat = 8, ntyp = 3
/
ATOMIC_SPECIES
Ca 40.08 Ca.upf
Ir 192.22 Ir.upf
Pt 195.08 Pt.upf
ATOMIC_POSITIONS crystal
Ca 0.000 0.000 0.000
Ca 0.750 0.250 0.500
Ir 0.250 0.750 0.500
Ir 0.500 0.500 0.000
Pt 0.289 0.625 0.164
Pt 0.375 0.539 0.664
Pt 0.461 0.125 0.836
Pt 0.875 0.711 0.336
CELL_PARAMETERS angstrom
-2.354 2.354 8.786
2.354 -2.354 8.786
2.354 2.354 -8.786
! - Fermi-level density of states: 0.6434 states/eV per atom
! - Final energy: -5.75 eV per atom
! - Formation energy from the elements: -0.036 eV/f.u.
! - Energy relative to the lowest polymorph listed for this composition: 344 meV per atom



[9]
! CaIrPt2 | Alexandria via LeMat-Bulk | PBE-GGA | optimized geometry; values from VASP
&SYSTEM
  ibrav = 0, nat = 4, ntyp = 3
/
ATOMIC_SPECIES
Ca 40.08 Ca.upf
Ir 192.22 Ir.upf
Pt 195.08 Pt.upf
ATOMIC_POSITIONS crystal
Ca 0.000 0.000 0.000
Ir 0.000 0.000 0.500
Pt 0.500 0.500 0.272
Pt 0.500 0.500 0.728
CELL_PARAMETERS angstrom
2.881 0.000 0.000
0.000 2.881 0.000
0.000 0.000 8.283
! - Fermi-level density of states: 1.2465 states/eV per atom
! - Final energy: -5.90 eV per atom
! - Formation energy from the elements: -0.675 eV/f.u.
! - Energy relative to the lowest polymorph listed for this composition: 185 meV per atom



[10]
! CaIr3Pt | Alexandria via LeMat-Bulk | PBE-GGA | optimized geometry; values from VASP
&SYSTEM
  ibrav = 0, nat = 5, ntyp = 3
/
ATOMIC_SPECIES
Ca 40.08 Ca.upf
Ir 192.22 Ir.upf
Pt 195.08 Pt.upf
ATOMIC_POSITIONS crystal
Ca 0.000 0.000 0.000
Ir 0.000 0.500 0.500
Ir 0.500 0.000 0.500
Ir 0.500 0.500 0.000
Pt 0.500 0.500 0.500
CELL_PARAMETERS angstrom
4.874 0.000 0.000
0.000 4.874 0.000
0.000 0.000 4.874
! - Fermi-level density of states: 1.1245 states/eV per atom
! - Final energy: -5.76 eV per atom
! - Formation energy from the elements: 5.847 eV/f.u.
! - Energy relative to the lowest polymorph listed for this composition: 0 meV per atom



[11]
! Ca2Ir2Pt | Alexandria via LeMat-Bulk | PBE-GGA | optimized geometry; values from VASP
&SYSTEM
  ibrav = 0, nat = 10, ntyp = 3
/
ATOMIC_SPECIES
Ca 40.08 Ca.upf
Ir 192.22 Ir.upf
Pt 195.08 Pt.upf
ATOMIC_POSITIONS crystal
Ca 0.180 0.320 0.000
Ca 0.320 0.820 0.000
Ca 0.680 0.180 0.000
Ca 0.820 0.680 0.000
Ir 0.127 0.627 0.500
Ir 0.373 0.127 0.500
Ir 0.627 0.873 0.500
Ir 0.873 0.373 0.500
Pt 0.000 0.000 0.500
Pt 0.500 0.500 0.500
CELL_PARAMETERS angstrom
6.754 0.000 0.000
0.000 6.754 0.000
0.000 0.000 4.497
! - Fermi-level density of states: 1.2203 states/eV per atom
! - Final energy: -5.99 eV per atom
! - Formation energy from the elements: -2.161 eV/f.u.



[12]
! CaIr2Pt2 | Alexandria via LeMat-Bulk | PBE-GGA | optimized geometry; values from VASP
&SYSTEM
  ibrav = 0, nat = 10, ntyp = 3
/
ATOMIC_SPECIES
Ca 40.08 Ca.upf
Ir 192.22 Ir.upf
Pt 195.08 Pt.upf
ATOMIC_POSITIONS crystal
Ca 0.000 0.000 0.000
Ca 0.500 0.500 0.000
Ir 0.119 0.381 0.000
Ir 0.381 0.881 0.000
Ir 0.619 0.119 0.000
Ir 0.881 0.619 0.000
Pt 0.181 0.681 0.500
Pt 0.319 0.181 0.500
Pt 0.681 0.819 0.500
Pt 0.819 0.319 0.500
CELL_PARAMETERS angstrom
7.815 0.000 0.000
0.000 7.815 0.000
0.000 0.000 2.835
! - Fermi-level density of states: 1.4114 states/eV per atom
! - Final energy: -6.54 eV per atom
! - Formation energy from the elements: -0.879 eV/f.u.
! - Energy relative to the lowest polymorph listed for this composition: 0 meV per atom